1.
# Rb2TeBr4 (PBE, relaxed)
# Energy above the lowest structure with this stoichiometry = 0 meV per atom
# Spin magnetization = 0.000 μB/atom
# D(E_F) = 0.000 states/eV per atom
# Total energy = -39.53 eV/cell
data_Rb2TeBr4
_symmetry_space_group_name_H-M 'I 4/m m m'
_symmetry_Int_Tables_number 139
_symmetry_space_group_name_Hall '-I 4 2'
_cell_length_a 7.974
_cell_length_b 7.974
_cell_length_c 9.230
_cell_angle_alpha 90.00
_cell_angle_beta 90.00
_cell_angle_gamma 90.00
loop_
_atom_site_label
_atom_site_fract_x
_atom_site_fract_y
_atom_site_fract_z
_atom_site_occupancy
Rb1 0.000 0.500 0.250 1
Te1 0.000 0.000 0.000 1
Br1 0.247 0.247 0.000 1

***

2.
# Rb2TeBr2 (PBE, relaxed)
# Spin magnetization = 0.000 μB/atom
# D(E_F) = 0.000 states/eV per atom
# Total energy = -28.31 eV/cell
data_Rb2TeBr2
_symmetry_space_group_name_H-M 'I 4/m m m'
_symmetry_Int_Tables_number 139
_symmetry_space_group_name_Hall '-I 4 2'
_cell_length_a 6.786
_cell_length_b 6.786
_cell_length_c 9.462
_cell_angle_alpha 90.00
_cell_angle_beta 90.00
_cell_angle_gamma 90.00
loop_
_atom_site_label
_atom_site_fract_x
_atom_site_fract_y
_atom_site_fract_z
_atom_site_occupancy
Rb1 0.000 0.500 0.250 1
Te1 0.000 0.000 0.000 1
Br1 0.000 0.000 0.302 1

***

3.
# Rb3TeBr (PBE, relaxed)
# Energy above the lowest structure with this stoichiometry = 165 meV per atom
# Spin magnetization = 0.000 μB/atom
# D(E_F) = 0.000 states/eV per atom
# Total energy = -13.16 eV/cell
data_Rb3TeBr
_symmetry_space_group_name_H-M 'P m -3 m'
_symmetry_Int_Tables_number 221
_symmetry_space_group_name_Hall '-P 4 2 3'
_cell_length_a 6.349
_cell_length_b 6.349
_cell_length_c 6.349
_cell_angle_alpha 90.00
_cell_angle_beta 90.00
_cell_angle_gamma 90.00
loop_
_atom_site_label
_atom_site_fract_x
_atom_site_fract_y
_atom_site_fract_z
_atom_site_occupancy
Rb1 0.000 0.000 0.500 1
Te1 0.500 0.500 0.500 1
Br1 0.000 0.000 0.000 1